[1]
An optimized crystal structure of CaAc4Rh2, computed with GGA-PBE.

## Properties
- SG: No. 11
- Distance to the lowest polymorph of the same formula: 78 meV/atom
- Energy: -5.12 eV/atom
- M_tot: 0.00 μB per cell
- E_form: -386 meV per atom

Cell: 7.3255 9.3605 7.7798 Å, 113.48 90.00 90.00°
With the nearest neighbours (Å) after each atom.
Sites, in units of the cell vectors:
Ca (0.7500, 0.2194, 0.9842)  1 Rh 2.89
Ac (0.7500, 0.0032, 0.3255)  2 Rh 3.09-3.23
Ac (0.5013, 0.5789, 0.2884)  4 Rh 2.97-3.13
Ac (0.0013, 0.4211, 0.7116)  4 Rh 2.97-3.13
Ca (0.2500, 0.7806, 0.0158)  1 Rh 2.89
Ac (0.7500, 0.7947, 0.7668)  1 Rh 2.83
Ac (0.9987, 0.5789, 0.2884)  4 Rh 2.97-3.13
Rh (0.7500, 0.6473, 0.0220)  5 Ac 2.83-3.10
Ac (0.2500, 0.2053, 0.2332)  1 Rh 2.83
Rh (0.7500, 0.3511, 0.3885)  1 Ca 2.89, 5 Ac 2.97-3.13
Rh (0.2500, 0.3527, 0.9780)  5 Ac 2.83-3.10
Rh (0.2500, 0.6489, 0.6115)  1 Ca 2.89, 5 Ac 2.97-3.13
Ac (0.2500, 0.9968, 0.6745)  2 Rh 3.09-3.23
Ac (0.4987, 0.4211, 0.7116)  4 Rh 2.97-3.13

[2]
An optimized crystal structure of AlB2Rh2, computed with GGA-PBE.

## Properties
- SG: No. 139
- Energy: -6.70 eV/atom
- M_tot: 0.00 μB per cell
- E_form: -338 meV per atom

Cell: 3.8374 3.8374 4.7457 Å, 66.15 66.15 90.00°
With the nearest neighbours (Å) after each atom.
Sites, in units of the cell vectors:
B (0.6096, 0.6096, 0.7807)  1 B 1.71
B (0.3904, 0.3904, 0.2193)  1 B 1.71
Al (0.0000, 0.0000, 0.0000)  8 Rh 2.73, 10 B 2.84-3.04
Rh (0.2500, 0.7500, 0.5000)  4 B 2.21
Rh (0.7500, 0.2500, 0.5000)  4 B 2.21

[3]
An optimized crystal structure of Sr3In7Au2, computed with GGA-PBE.

## Properties
- SG: No. 166
- Energy: -2.98 eV/atom
- M_tot: 0.00 μB per cell
- E_form: -415 meV per atom

Cell: 6.2552 6.2552 10.3521 Å, 72.42 72.42 60.00°
With the nearest neighbours (Å) after each atom.
Sites, in units of the cell vectors:
In (0.5827, 0.5827, 0.7638)  2 Au 2.88-2.96, 5 In 3.05-3.20
Au (0.3361, 0.3361, 0.9918)  6 In 2.88-2.96
Au (0.6639, 0.6639, 0.0082)  6 In 2.88-2.96
In (0.4173, 0.9292, 0.2362)  2 Au 2.88-2.96, 5 In 3.05-3.20
In (0.4173, 0.4173, 0.2362)  2 Au 2.88-2.96, 5 In 3.05-3.20
In (0.9292, 0.4173, 0.2362)  2 Au 2.88-2.96, 5 In 3.05-3.20
Sr (0.8580, 0.8580, 0.4259)  12 In 3.63-3.72, 3 Sr 3.89
Sr (0.0000, 0.0000, 0.0000)  6 Au 3.61, 12 In 3.88
In (0.5000, 0.5000, 0.5000)  6 In 3.16
In (0.0708, 0.5827, 0.7638)  2 Au 2.88-2.96, 5 In 3.05-3.20
Sr (0.1420, 0.1420, 0.5741)  12 In 3.63-3.72, 3 Sr 3.89
In (0.5827, 0.0708, 0.7638)  2 Au 2.88-2.96, 5 In 3.05-3.20

> Look up the energy of the second one.

-6.70 eV/atom

> Which formula does entry 3 have?

Sr3In7Au2

> Look up the E_form of the first one.

-386 meV per atom

> Among the records above, which one has the highest E_form?

AlB2Rh2